Record 1
5
Lattice="3.469 0.000 0.000 0.000 5.282 0.000 0.000 0.000 5.282" Properties=species:S:1:pos:R:3 comment="SCAN MnFeI2N, PBEsol geometry" spacegroup="P4/mmm, No. 123" density_g_cm3=6.5 m_tot_mub_per_cell=5.77 pbc="T T T"
Fe 0.000 0.000 0.000
I 0.000 0.000 2.641
I 0.000 2.641 0.000
Mn 1.734 2.641 2.641
N 1.734 0.000 0.000

Record 2
5
Lattice="-3.284 -0.818 1.860 1.051 -3.710 0.224 2.544 1.018 4.939" Properties=species:S:1:pos:R:3 comment="SCAN FeMoIN2, PBEsol geometry" spacegroup="P4/mmm, No. 123" density_g_cm3=6.0 m_tot_mub_per_cell=3.18 pbc="T T T"
N 0.525 -1.855 0.112
N -1.642 -0.409 0.930
Mo 0.000 0.000 0.000
Fe 0.155 -1.755 3.511
I 1.272 0.509 2.469

Record 3
5
Lattice="-0.091 -0.126 3.790 -3.789 -0.155 -0.096 0.244 -5.862 -0.189" Properties=species:S:1:pos:R:3 comment="SCAN FeMoIO2, PBEsol geometry" spacegroup="P4/mmm, No. 123" density_g_cm3=6.1 m_tot_mub_per_cell=2.84 pbc="T T T"
Mo 0.000 0.000 0.000
Fe -1.818 -3.072 1.752
O -0.046 -0.063 1.895
O -1.894 -0.077 -0.048
I 0.122 -2.931 -0.094

Record 4
5
Lattice="-3.256 1.706 3.097 -1.105 -4.915 1.545 3.715 0.334 3.722" Properties=species:S:1:pos:R:3 comment="SCAN FeSbMoI2, PBEsol geometry" spacegroup="P4/mmm, No. 123" density_g_cm3=6.6 m_tot_mub_per_cell=6.85 pbc="T T T"
Sb -1.628 0.853 1.549
I 1.858 0.167 1.861
I -0.553 -2.458 0.772
Mo -0.323 -1.438 4.182
Fe 0.000 0.000 0.000

Record 5
5
Lattice="-1.207 -3.512 -0.085 1.117 -0.298 -3.530 7.076 -0.570 4.241" Properties=species:S:1:pos:R:3 comment="SCAN Fe2I2N, PBEsol geometry" spacegroup="I4/mmm, No. 139" density_g_cm3=5.8 m_tot_mub_per_cell=9.00 pbc="T T T"
I 5.214 -1.835 1.804
I 1.772 -2.545 -1.179
N 0.000 0.000 0.000
Fe 4.074 -1.386 -0.548
Fe 2.912 -2.993 1.174

Record 6
5
Lattice="3.879 0.000 0.000 0.000 5.597 0.000 0.000 0.000 5.597" Properties=species:S:1:pos:R:3 comment="SCAN NbFeI2N, PBEsol geometry" spacegroup="P4/mmm, No. 123" density_g_cm3=5.7 m_tot_mub_per_cell=4.28 pbc="T T T"
N 1.939 0.000 0.000
Fe 1.939 2.799 2.799
Nb 0.000 0.000 0.000
I 0.000 0.000 2.799
I 0.000 2.799 0.000

Record 7
5
Lattice="-3.471 -0.224 2.356 1.888 -2.786 2.516 2.191 4.813 3.685" Properties=species:S:1:pos:R:3 comment="SCAN FePbIN2, PBEsol geometry" spacegroup="P4/mmm, No. 123" density_g_cm3=6.1 m_tot_mub_per_cell=5.24 pbc="T T T"
Pb 0.000 0.000 0.000
N -1.735 -0.112 1.178
N 0.944 -1.393 1.258
I 1.096 2.406 1.843
Fe 0.304 0.902 4.279

Record 8
5
Lattice="-0.873 -1.500 3.174 2.388 -2.651 -0.596 4.075 3.091 2.581" Properties=species:S:1:pos:R:3 comment="SCAN FePdIN2, PBEsol geometry" spacegroup="P4/mmm, No. 123" density_g_cm3=7.0 m_tot_mub_per_cell=0.00 pbc="T T T"
Pd 2.795 -0.530 2.579
Fe 0.000 0.000 0.000
I 2.037 1.545 1.291
N 1.194 -1.325 -0.298
N -0.436 -0.750 1.587

Record 9
5
Lattice="3.548 0.000 0.000 0.000 5.755 0.000 0.000 0.000 5.755" Properties=species:S:1:pos:R:3 comment="SCAN RbFeI2N, PBEsol geometry" spacegroup="P4/mmm, No. 123" density_g_cm3=5.8 m_tot_mub_per_cell=1.80 pbc="T T T"
Rb 1.774 2.877 2.877
N 1.774 0.000 0.000
I 0.000 0.000 2.877
I 0.000 2.877 0.000
Fe 0.000 0.000 0.000

Record 10
5
Lattice="3.542 0.000 0.000 0.000 3.542 0.000 0.000 0.000 6.635" Properties=species:S:1:pos:R:3 comment="SCAN FeSIN2, PBEsol geometry" spacegroup="P4/mmm, No. 123" density_g_cm3=4.8 m_tot_mub_per_cell=3.85 pbc="T T T"
N 1.771 0.000 0.000
N 0.000 1.771 0.000
S 0.000 0.000 0.000
Fe 1.771 1.771 3.318
I 0.000 0.000 3.318

Record 11
5
Lattice="3.717 0.000 0.000 0.000 3.717 0.000 0.000 0.000 5.630" Properties=species:S:1:pos:R:3 comment="SCAN FeSeIN2, PBEsol geometry" spacegroup="P4/mmm, No. 123" density_g_cm3=6.2 m_tot_mub_per_cell=0.00 pbc="T T T"
Se 1.859 1.859 2.815
I 0.000 0.000 2.815
N 0.000 1.859 0.000
N 1.859 0.000 0.000
Fe 0.000 0.000 0.000

Record 12
5
Lattice="3.936 0.000 0.000 0.000 6.045 0.000 0.000 0.000 6.045" Properties=species:S:1:pos:R:3 comment="SCAN FeTeI2N, PBEsol geometry" spacegroup="P4/mmm, No. 123" e_above_lowest_polymorph_mev_per_atom=0 density_g_cm3=5.2 m_tot_mub_per_cell=3.39 pbc="T T T"
Fe 1.968 3.023 3.023
N 1.968 0.000 0.000
Te 0.000 0.000 0.000
I 0.000 0.000 3.023
I 0.000 3.023 0.000

no.,raw total energy (eV per cell),uncorrected formation energy (eV/atom)
1,-117.2,0.39
2,-104.2,0.82
3,-105.0,-0.56
4,-158.3,1.10
5,-114.3,0.94
6,-131.8,0.44
7,-140.1,1.83
8,-101.2,1.01
9,-122.6,-0.18
10,-74.5,1.71
11,-87.1,1.28
12,-132.8,1.08